This record from Alexandria describes a relaxed Li3Ac2Ir2 crystal. The functional is PBE.

Values from the calculation:
Its density of states at the Fermi level is 3.16 states/eV per cell. As for the energy relative to the elements: -0.321 eV/atom. The size of the total moment comes out at 0.0 Bohr magnetons per cell. The total energy comes out at -33.9 eV/cell.

Cell lengths 5.7554, 5.7554, 7.2916 Å; angles 95.75, 95.75, 42.48 degrees
Positions (direct):
Li  0.0000  0.0000  0.0000
Li  0.3231  0.3231  0.1250
Li  0.6769  0.6769  0.8750
Ac  0.3753  0.3753  0.6445
Ac  0.6247  0.6247  0.3555
Ir  0.0907  0.0907  0.6662
Ir  0.9093  0.9093  0.3338

***

This record from Alexandria describes a relaxed Li2Ac2Ir3 crystal. The functional is PBE.

Values from the calculation:
Its density of states at the Fermi level is 3.43 states/eV per cell. As for the energy relative to the elements: -0.354 eV/atom. The size of the total moment comes out at 0.0 Bohr magnetons per cell. The total energy comes out at -41.1 eV/cell.

Cell lengths 5.8367, 5.8367, 6.9399 Å; angles 100.52, 100.52, 44.79 degrees
Positions (direct):
Li  0.0957  0.0957  0.1677
Li  0.9043  0.9043  0.8323
Ac  0.1673  0.1673  0.6996
Ac  0.8327  0.8327  0.3004
Ir  0.4402  0.4402  0.6347
Ir  0.5000  0.5000  0.0000
Ir  0.5598  0.5598  0.3653

***

This record from Alexandria describes a relaxed LiAc2Ir9 crystal. The functional is PBE.

Values from the calculation:
Its density of states at the Fermi level is 11.89 states/eV per cell. As for the energy relative to the elements: -0.181 eV/atom. The size of the total moment comes out at 0.0 Bohr magnetons per cell. The total energy comes out at -92.1 eV/cell.

Cell lengths 9.4783, 9.4783, 9.4783 Å; angles 33.19, 33.19, 33.19 degrees
Positions (direct):
Li  0.0000  0.0000  0.0000
Ac  0.1361  0.1361  0.1361
Ac  0.8639  0.8639  0.8639
Ir  0.0839  0.5753  0.5753
Ir  0.3314  0.3314  0.3314
Ir  0.4247  0.4247  0.9161
Ir  0.4247  0.9161  0.4247
Ir  0.5000  0.5000  0.5000
Ir  0.5753  0.0839  0.5753
Ir  0.5753  0.5753  0.0839
Ir  0.6686  0.6686  0.6686
Ir  0.9161  0.4247  0.4247

***

This record from Alexandria describes a relaxed Li3Ac12Ir5 crystal. The functional is PBE.

Values from the calculation:
Its density of states at the Fermi level is 78.08 states/eV per cell. As for the energy relative to the elements: -0.138 eV/atom. The size of the total moment comes out at 0.0 Bohr magnetons per cell. The total energy comes out at -408.5 eV/cell.

Cell lengths 16.1632, 16.1632, 16.1632 Å; angles 109.47, 109.47, 109.47 degrees
Positions (direct):
Li  0.1250  0.2500  0.3750
Li  0.1250  0.3750  0.7500
Li  0.2500  0.3750  0.1250
Li  0.2500  0.8750  0.6250
Li  0.3750  0.1250  0.2500
Li  0.3750  0.7500  0.1250
Li  0.6250  0.2500  0.8750
Li  0.6250  0.8750  0.7500
Li  0.7500  0.1250  0.3750
Li  0.7500  0.6250  0.8750
Li  0.8750  0.6250  0.2500
Li  0.8750  0.7500  0.6250
Ac  0.0241  0.2026  0.1151
Ac  0.0241  0.3215  0.9090
Ac  0.0875  0.7026  0.6785
Ac  0.0875  0.8849  0.4090
Ac  0.0910  0.6151  0.4125
Ac  0.0910  0.9759  0.6785
Ac  0.1151  0.0241  0.2026
Ac  0.1151  0.5910  0.9125
Ac  0.1785  0.2026  0.5875
Ac  0.1785  0.4759  0.5910
Ac  0.2026  0.1151  0.0241
Ac  0.2026  0.5875  0.1785
Ac  0.2974  0.3215  0.9125
Ac  0.2974  0.4759  0.3849
Ac  0.3215  0.9090  0.0241
Ac  0.3215  0.9125  0.2974
Ac  0.3849  0.2974  0.4759
Ac  0.3849  0.5875  0.9090
Ac  0.4090  0.0875  0.8849
Ac  0.4090  0.8215  0.5241
Ac  0.4125  0.0910  0.6151
Ac  0.4125  0.8215  0.7974
Ac  0.4759  0.3849  0.2974
Ac  0.4759  0.5910  0.1785
Ac  0.5241  0.4090  0.8215
Ac  0.5241  0.6151  0.7026
Ac  0.5875  0.1785  0.2026
Ac  0.5875  0.9090  0.3849
Ac  0.5910  0.1785  0.4759
Ac  0.5910  0.9125  0.1151
Ac  0.6151  0.4125  0.0910
Ac  0.6151  0.7026  0.5241
Ac  0.6785  0.0875  0.7026
Ac  0.6785  0.0910  0.9759
Ac  0.7026  0.5241  0.6151
Ac  0.7026  0.6785  0.0875
Ac  0.7974  0.4125  0.8215
Ac  0.7974  0.8849  0.9759
Ac  0.8215  0.5241  0.4090
Ac  0.8215  0.7974  0.4125
Ac  0.8849  0.4090  0.0875
Ac  0.8849  0.9759  0.7974
Ac  0.9090  0.0241  0.3215
Ac  0.9090  0.3849  0.5875
Ac  0.9125  0.1151  0.5910
Ac  0.9125  0.2974  0.3215
Ac  0.9759  0.6785  0.0910
Ac  0.9759  0.7974  0.8849
Ir  0.0000  0.0000  0.0000
Ir  0.0000  0.0000  0.5000
Ir  0.0000  0.5000  0.0000
Ir  0.0000  0.5000  0.5000
Ir  0.1250  0.7500  0.8750
Ir  0.1250  0.8750  0.2500
Ir  0.2500  0.1250  0.8750
Ir  0.2500  0.6250  0.3750
Ir  0.3750  0.2500  0.6250
Ir  0.3750  0.6250  0.7500
Ir  0.5000  0.0000  0.0000
Ir  0.5000  0.0000  0.5000
Ir  0.5000  0.5000  0.0000
Ir  0.5000  0.5000  0.5000
Ir  0.6250  0.3750  0.2500
Ir  0.6250  0.7500  0.3750
Ir  0.7500  0.3750  0.6250
Ir  0.7500  0.8750  0.1250
Ir  0.8750  0.1250  0.7500
Ir  0.8750  0.2500  0.1250

***

Question: What is the formula in the second record?
Answer: Li2Ac2Ir3

***

Question: What is the energy relative to the elements in the fourth record?
Answer: -0.138 eV/atom

***

What did the first record say?
This record from Alexandria describes a relaxed Li3Ac2Ir2 crystal. The functional is PBE.

Values from the calculation:
Its density of states at the Fermi level is 3.16 states/eV per cell. As for the energy relative to the elements: -0.321 eV/atom. The size of the total moment comes out at 0.0 Bohr magnetons per cell. The total energy comes out at -33.9 eV/cell.

Cell lengths 5.7554, 5.7554, 7.2916 Å; angles 95.75, 95.75, 42.48 degrees
Positions (direct):
Li  0.0000  0.0000  0.0000
Li  0.3231  0.3231  0.1250
Li  0.6769  0.6769  0.8750
Ac  0.3753  0.3753  0.6445
Ac  0.6247  0.6247  0.3555
Ir  0.0907  0.0907  0.6662
Ir  0.9093  0.9093  0.3338